BaNbAsO: relaxed, PBE.

Properties
Total energy in eV/atom: -6.034
M_tot in μB/f.u.: 0.01

Lattice parameters (Å, degrees): 4.407 4.407 9.912 90.00 90.00 90.00
Space group P4/nmm (No. 129, origin choice 2)
Symmetry-distinct sites (fractional):
Ba 0.250 0.750 0.000
Nb 0.250 0.250 0.482
As 0.250 0.250 0.240
O 0.250 0.750 0.500